No. 1
An optimized crystal structure of Si2TcHg, computed with PBE.

Properties
The formation energy without anion corrections is 0.17 eV per atom. The volume comes out at 18.21 A^3/atom.

Unit cell a=6.9186 b=6.9186 c=3.7790 alpha=74.12 beta=74.12 gamma=24.79
Positions (direct):
Tc 0.5258 0.5258 0.4746
Si 0.1745 0.1745 0.3253
Si 0.9888 0.9888 0.0116
Hg 0.8109 0.8109 0.6886

***

No. 2
An optimized crystal structure of ZnGa2AgSe, computed with PBE.

Properties
The formation energy without anion corrections is 0.23 eV per atom. The volume comes out at 24.44 A^3/atom.

Unit cell a=5.0080 b=4.8719 c=5.0080 alpha=90.00 beta=90.00 gamma=90.00
Positions (direct):
Se 0.5000 0.5000 0.5000
Ga 0.5000 0.0000 0.0000
Ga 0.0000 0.0000 0.5000
Ag 0.0000 0.0000 0.0000
Zn 0.0000 0.5000 0.0000